# 1
This record from the Alexandria database describes an optimized crystal structure of K2Ga3CuSe6. The functional is PBE-GGA.

## Properties
Space-group type   C2/c
Total DFT energy (no corrections)   -3.837 eV per atom
Formation energy from raw total energies   -0.814 eV per atom

Structure (POSCAR):
```
K2Ga3CuSe6
1.0
-1.664 -5.672 5.257
-4.556 -3.609 -5.366
15.010 -13.361 -6.681
K Se Ga Cu
8 24 12 4
Direct
0.104 0.236 0.081 K
0.222 0.607 0.580 K
0.764 0.896 0.419 K
0.393 0.778 0.920 K
0.236 0.104 0.581 K
0.607 0.222 0.080 K
0.778 0.393 0.420 K
0.896 0.764 0.919 K
0.832 0.965 0.182 Se
0.614 0.764 0.050 Se
0.172 0.557 0.818 Se
0.667 0.034 0.819 Se
0.888 0.290 0.949 Se
0.443 0.329 0.680 Se
0.764 0.614 0.550 Se
0.035 0.168 0.318 Se
0.329 0.443 0.180 Se
0.710 0.112 0.551 Se
0.034 0.667 0.319 Se
0.966 0.333 0.681 Se
0.112 0.710 0.051 Se
0.236 0.386 0.450 Se
0.168 0.035 0.818 Se
0.557 0.671 0.320 Se
0.290 0.888 0.449 Se
0.386 0.236 0.950 Se
0.443 0.828 0.682 Se
0.557 0.172 0.318 Se
0.333 0.966 0.181 Se
0.828 0.443 0.182 Se
0.965 0.832 0.682 Se
0.671 0.557 0.820 Se
0.558 0.442 0.250 Ga
0.720 0.346 0.620 Ga
0.719 0.846 0.621 Ga
0.068 0.932 0.250 Ga
0.442 0.558 0.750 Ga
0.281 0.154 0.379 Ga
0.846 0.719 0.121 Ga
0.346 0.720 0.120 Ga
0.154 0.281 0.879 Ga
0.654 0.280 0.880 Ga
0.280 0.654 0.380 Ga
0.932 0.068 0.750 Ga
0.562 0.936 0.250 Cu
0.064 0.438 0.250 Cu
0.438 0.064 0.750 Cu
0.936 0.562 0.750 Cu
```

# 2
This record from the Alexandria database describes an optimized crystal structure of KGaCuTe3. The functional is PBE-GGA.

## Properties
Space-group type   P2_1/m
Total DFT energy (no corrections)   -3.271 eV per atom
Formation energy from raw total energies   -0.330 eV per atom

Structure (POSCAR):
```
KGaCuTe3
1.0
4.045 0.000 0.000
0.000 9.178 -0.481
0.000 -3.113 11.003
Te K Ga Cu
6 2 2 2
Direct
0.750 0.851 0.138 Te
0.750 0.472 0.151 Te
0.250 0.792 0.478 Te
0.250 0.149 0.862 Te
0.750 0.208 0.522 Te
0.250 0.528 0.849 Te
0.250 0.202 0.222 K
0.750 0.798 0.778 K
0.250 0.097 0.625 Ga
0.750 0.903 0.375 Ga
0.750 0.363 0.903 Cu
0.250 0.637 0.097 Cu
```

# 3
This record from the Alexandria database describes an optimized crystal structure of KGa2CuTe4. The functional is PBE-GGA.

## Properties
Space-group type   I-42m
Total DFT energy (no corrections)   -3.284 eV per atom
Formation energy from raw total energies   -0.307 eV per atom

Structure (POSCAR):
```
KGa2CuTe4
1.0
-2.965 5.200 -2.189
-7.649 -1.428 -2.311
-7.240 1.233 3.457
Te Ga K Cu
4 2 1 1
Direct
0.150 0.850 0.426 Te
0.574 0.426 0.850 Te
0.850 0.574 0.150 Te
0.426 0.150 0.574 Te
0.750 0.750 0.750 Ga
0.250 0.250 0.250 Ga
0.000 0.000 0.000 K
0.500 0.500 0.500 Cu
```

# 4
This record from the Alexandria database describes an optimized crystal structure of KTi2GaCu. The functional is PBE-GGA.

## Properties
Space-group type   P4/mmm
Total DFT energy (no corrections)   -3.731 eV per atom
DFT formation energy   1071 meV/atom

Structure (POSCAR):
```
KTi2GaCu
1.0
4.890 0.000 0.000
0.000 5.941 0.000
0.000 0.000 4.890
Ga Ti Cu K
1 2 1 1
Direct
0.000 0.000 0.000 Ga
0.500 0.000 0.000 Ti
0.000 0.000 0.500 Ti
0.500 0.500 0.500 Cu
0.000 0.500 0.000 K
```

# 5
This record from the Alexandria database describes an optimized crystal structure of KGa2CuW. The functional is PBE-GGA.

## Properties
Space-group type   P4/mmm
Total DFT energy (no corrections)   -3.796 eV per atom
DFT formation energy   1044 meV/atom

Structure (POSCAR):
```
KGa2CuW
1.0
4.753 0.000 0.000
0.000 5.011 0.000
0.000 0.000 4.753
Ga K Cu W
2 1 1 1
Direct
0.000 0.000 0.500 Ga
0.500 0.000 0.000 Ga
0.500 0.500 0.500 K
0.000 0.000 0.000 Cu
0.000 0.500 0.000 W
```

# 6
This record from the Alexandria database describes an optimized crystal structure of KZn2GaCu. The functional is PBE-GGA.

## Properties
Space-group type   P4/mmm
Total DFT energy (no corrections)   -2.059 eV per atom
DFT formation energy   95 meV/atom

Structure (POSCAR):
```
KZn2GaCu
1.0
4.850 0.000 0.000
0.000 4.850 0.000
0.000 0.000 4.757
Ga K Cu Zn
1 1 1 2
Direct
0.000 0.000 0.500 Ga
0.500 0.500 0.500 K
0.000 0.000 0.000 Cu
0.000 0.500 0.000 Zn
0.500 0.000 0.000 Zn
```

# 7
This record from the Alexandria database describes an optimized crystal structure of LaGa6Cu4. The functional is PBE-GGA.

## Properties
Space-group type   P-6m2
Total DFT energy (no corrections)   -3.877 eV per atom
DFT formation energy   -289 meV/atom

Structure (POSCAR):
```
LaGa6Cu4
1.0
-0.819 -3.714 1.660
4.722 1.271 5.175
-6.812 1.885 0.856
Cu Ga La
4 6 1
Direct
0.500 0.789 0.578 Cu
0.500 0.789 0.211 Cu
0.500 0.422 0.211 Cu
0.000 0.333 0.667 Cu
0.000 0.928 0.464 Ga
0.000 0.536 0.072 Ga
0.500 0.200 0.399 Ga
0.500 0.601 0.800 Ga
0.500 0.200 0.800 Ga
0.000 0.536 0.464 Ga
0.000 0.000 0.000 La
```

# 8
This record from the Alexandria database describes an optimized crystal structure of La2Ga6Cu3. The functional is PBE-GGA.

## Properties
Space-group type   P-62m
Total DFT energy (no corrections)   -4.090 eV per atom
DFT formation energy   -425 meV/atom

Structure (POSCAR):
```
La2Ga6Cu3
1.0
-2.424 -2.714 -1.950
2.773 -5.678 4.455
-6.246 3.970 2.238
Ga Cu La
6 3 2
Direct
0.000 0.000 0.807 Ga
0.500 0.000 0.313 Ga
0.500 0.313 0.000 Ga
0.500 0.687 0.687 Ga
0.000 0.807 0.000 Ga
0.000 0.193 0.193 Ga
0.500 0.639 0.000 Cu
0.500 0.361 0.361 Cu
0.500 0.000 0.639 Cu
0.000 0.667 0.333 La
0.000 0.333 0.667 La
```

# 9
This record from the Alexandria database describes an optimized crystal structure of La3Ga9Cu2. The functional is PBE-GGA.

## Properties
Space-group type   Immm
Total DFT energy (no corrections)   -4.100 eV per atom
DFT formation energy   -514 meV/atom

Structure (POSCAR):
```
La3Ga9Cu2
1.0
4.378 0.000 0.000
2.189 8.116 0.022
2.189 1.861 7.900
Ga La Cu
9 3 2
Direct
0.000 0.500 0.500 Ga
0.131 0.144 0.595 Ga
0.336 0.296 0.032 Ga
0.869 0.405 0.856 Ga
0.131 0.595 0.144 Ga
0.869 0.856 0.405 Ga
0.664 0.704 0.968 Ga
0.664 0.968 0.704 Ga
0.336 0.032 0.296 Ga
0.682 0.318 0.318 La
0.000 0.000 0.000 La
0.318 0.682 0.682 La
0.500 0.274 0.726 Cu
0.500 0.726 0.274 Cu
```

# 10
This record from the Alexandria database describes an optimized crystal structure of LaGaCu5. The functional is PBE-GGA.

## Properties
Space-group type   Pnma
Total DFT energy (no corrections)   -4.298 eV per atom
DFT formation energy   -235 meV/atom

Structure (POSCAR):
```
LaGaCu5
1.0
5.147 0.000 0.000
0.000 8.216 0.000
0.000 0.000 10.366
La Cu Ga
4 20 4
Direct
0.750 0.262 0.442 La
0.250 0.238 0.942 La
0.250 0.738 0.558 La
0.750 0.762 0.058 La
0.503 0.435 0.193 Cu
0.750 0.322 0.746 Cu
0.750 0.409 0.985 Cu
0.250 0.091 0.485 Cu
0.250 0.178 0.246 Cu
0.750 0.571 0.597 Cu
0.997 0.435 0.193 Cu
0.250 0.929 0.097 Cu
0.003 0.565 0.807 Cu
0.250 0.429 0.403 Cu
0.250 0.591 0.015 Cu
0.997 0.935 0.307 Cu
0.750 0.822 0.754 Cu
0.503 0.935 0.307 Cu
0.750 0.909 0.515 Cu
0.497 0.065 0.693 Cu
0.497 0.565 0.807 Cu
0.750 0.071 0.903 Cu
0.250 0.678 0.254 Cu
0.003 0.065 0.693 Cu
0.750 0.649 0.358 Ga
0.250 0.351 0.642 Ga
0.750 0.149 0.142 Ga
0.250 0.851 0.858 Ga
```

# 11
This record from the Alexandria database describes an optimized crystal structure of LaGa11Cu. The functional is PBE-GGA.

## Properties
Space-group type   C2/m
Total DFT energy (no corrections)   -3.414 eV per atom
DFT formation energy   -159 meV/atom

Structure (POSCAR):
```
LaGa11Cu
1.0
-5.289 0.051 -0.182
-2.729 -7.161 2.277
-2.826 1.953 5.752
Ga Cu La
11 1 1
Direct
0.000 0.500 0.000 Ga
0.504 0.769 0.219 Ga
0.625 0.363 0.351 Ga
0.722 0.769 0.781 Ga
0.025 0.637 0.351 Ga
0.975 0.363 0.649 Ga
0.375 0.637 0.649 Ga
0.000 0.000 0.500 Ga
0.500 0.000 0.500 Ga
0.496 0.231 0.781 Ga
0.278 0.231 0.219 Ga
0.500 0.500 0.000 Cu
0.000 0.000 0.000 La
```

# 12
This record from the Alexandria database describes an optimized crystal structure of LaGa2Cu2. The functional is PBE-GGA.

## Properties
Space-group type   P4/mbm
Total DFT energy (no corrections)   -3.933 eV per atom
DFT formation energy   -98 meV/atom

Structure (POSCAR):
```
LaGa2Cu2
1.0
-3.577 6.767 2.008
1.780 -1.314 7.598
2.494 1.419 -0.339
La Cu Ga
2 4 4
Direct
0.000 0.000 0.000 La
0.500 0.500 0.000 La
0.659 0.841 0.500 Cu
0.841 0.341 0.500 Cu
0.159 0.659 0.500 Cu
0.341 0.159 0.500 Cu
0.872 0.628 0.000 Ga
0.372 0.872 0.000 Ga
0.128 0.372 0.000 Ga
0.628 0.128 0.000 Ga
```

Among the records above, which one has the highest total DFT energy (no corrections)?
KZn2GaCu